No. 1
This record from the Alexandria database describes crystalline NaGeRu at its relaxed geometry. The functional is PBE-GGA.

Formation enthalpy at 0 K, kcal/mol of atoms: -3.46
Space group: P4/nmm

abc: 4.3660 4.3660 6.4970
angles: 90.00 90.00 90.00
With the nearest neighbours (Å) after each atom.
Fractional positions:
Na: 0.2500 0.2500 0.1580  4 Ru 3.11, 6 Ge 3.19-3.31
Na: 0.7500 0.7500 0.8420  4 Ru 3.11, 6 Ge 3.19-3.31
Ge: 0.2500 0.2500 0.6676  4 Ru 2.44
Ge: 0.7500 0.7500 0.3324  4 Ru 2.44
Ru: 0.2500 0.7500 0.5000  4 Ge 2.44
Ru: 0.7500 0.2500 0.5000  4 Ge 2.44

No. 2
This record from the Alexandria database describes crystalline NaNiP2Rh at its relaxed geometry. The functional is PBE-GGA.

Formation enthalpy at 0 K, kcal/mol of atoms: -13.17
Space group: I-4m2

abc: 5.5178 5.5178 5.5178
angles: 138.09 138.09 60.76
With the nearest neighbours (Å) after each atom.
Fractional positions:
Na: 0.0000 0.0000 0.0000  8 P 3.01, 4 Ni 3.09, 4 Rh 3.09
Ni: 0.2500 0.7500 0.5000  4 P 2.34
P: 0.3812 0.3812 0.0000  1 P 2.26, 2 Ni 2.34, 2 Rh 2.34
P: 0.6188 0.6188 0.0000  1 P 2.26, 2 Ni 2.34, 2 Rh 2.34
Rh: 0.7500 0.2500 0.5000  4 P 2.34

No. 3
This record from the Alexandria database describes crystalline GeB2Os at its relaxed geometry. The functional is PBE-GGA.

Formation enthalpy at 0 K, kcal/mol of atoms: 14.48
Space group: I-42d

abc: 5.8099 5.8099 5.8099
angles: 129.86 129.86 73.63
With the nearest neighbours (Å) after each atom.
Fractional positions:
Ge: 0.0000 0.0000 0.0000  4 B 2.16
Ge: 0.7500 0.2500 0.5000  4 B 2.16
B: 0.1480 0.6250 0.0230  2 Os 2.03, 2 Ge 2.16
B: 0.3750 0.3980 0.5230  2 Os 2.03, 2 Ge 2.16
B: 0.6020 0.1250 0.9770  2 Os 2.03, 2 Ge 2.16
B: 0.8750 0.8520 0.4770  2 Os 2.03, 2 Ge 2.16
Os: 0.2500 0.7500 0.5000  4 B 2.03
Os: 0.5000 0.5000 0.0000  4 B 2.03

No. 4
This record from the Alexandria database describes crystalline CaYSeN2 at its relaxed geometry. The functional is PBE-GGA.

Space group: P4/mmm
E_form (uncorrected), eV/atom: -0.157

abc: 4.4603 4.4603 5.6746
angles: 90.00 90.00 90.00
With the nearest neighbours (Å) after each atom.
Fractional positions:
Ca: 0.0000 0.0000 0.0000  4 Se 3.15
Y: 0.5000 0.5000 0.5000  4 N 2.23
Se: 0.5000 0.5000 0.0000  2 Y 2.84, 4 Ca 3.15
N: 0.0000 0.5000 0.5000  2 Y 2.23
N: 0.5000 0.0000 0.5000  2 Y 2.23

No. 5
This record from the Alexandria database describes crystalline Pr2TmIn at its relaxed geometry. The functional is PBE-GGA.

Formation enthalpy at 0 K, kcal/mol of atoms: -4.34
Space group: P4/mmm

abc: 3.6526 3.6526 9.5342
angles: 90.00 90.00 90.00
With the nearest neighbours (Å) after each atom.
Fractional positions:
Pr: 0.0000 0.0000 0.2299  4 In 3.39, 4 Tm 3.65, 4 Pr 3.65
Pr: 0.0000 0.0000 0.7701  4 In 3.39, 4 Tm 3.65, 4 Pr 3.65
Tm: 0.5000 0.5000 0.5000  8 Pr 3.65, 4 Tm 3.65
In: 0.5000 0.5000 0.0000  8 Pr 3.39, 4 In 3.65

No. 6
This record from the Alexandria database describes crystalline TiCuF2 at its relaxed geometry. The functional is PBE-GGA.

Space group: Fm-3m
E_form (uncorrected), eV/atom: -1.066

abc: 4.0590 4.0590 4.0590
angles: 60.00 60.00 60.00
With the nearest neighbours (Å) after each atom.
Fractional positions:
Ti: 0.0000 0.0000 0.0000  8 F 2.49
Cu: 0.5000 0.5000 0.5000  8 F 2.49
F: 0.2500 0.2500 0.2500  4 Cu 2.49, 4 Ti 2.49
F: 0.7500 0.7500 0.7500  4 Cu 2.49, 4 Ti 2.49

No. 7
This record from the Alexandria database describes crystalline Tm12Al6Zn at its relaxed geometry. The functional is PBE-GGA.

Formation enthalpy at 0 K, kcal/mol of atoms: 2.30
Space group: R-3

abc: 8.5004 8.5004 8.5004
angles: 100.99 100.99 100.99
With the nearest neighbours (Å) after each atom.
Fractional positions:
Tm: 0.0480 0.9437 0.6785  1 Zn 2.80, 2 Al 2.94-2.99
Tm: 0.0563 0.3215 0.9520  1 Zn 2.80, 2 Al 2.94-2.99
Tm: 0.1781 0.5590 0.4214  4 Al 2.93-3.10
Tm: 0.3215 0.9520 0.0563  1 Zn 2.80, 2 Al 2.94-2.99
Tm: 0.4214 0.1781 0.5590  4 Al 2.93-3.10
Tm: 0.4410 0.5786 0.8220  4 Al 2.93-3.10
Tm: 0.5590 0.4214 0.1781  4 Al 2.93-3.10
Tm: 0.5786 0.8220 0.4410  4 Al 2.93-3.10
Tm: 0.6785 0.0480 0.9437  1 Zn 2.80, 2 Al 2.94-2.99
Tm: 0.8220 0.4410 0.5786  4 Al 2.93-3.10
Tm: 0.9437 0.6785 0.0480  1 Zn 2.80, 2 Al 2.94-2.99
Tm: 0.9520 0.0563 0.3215  1 Zn 2.80, 2 Al 2.94-2.99
Al: 0.1367 0.3054 0.6224  7 Tm 2.93-3.17
Al: 0.3054 0.6224 0.1367  7 Tm 2.93-3.17
Al: 0.3776 0.8633 0.6946  7 Tm 2.93-3.17
Al: 0.6224 0.1367 0.3054  7 Tm 2.93-3.17
Al: 0.6946 0.3776 0.8633  7 Tm 2.93-3.17
Al: 0.8633 0.6946 0.3776  7 Tm 2.93-3.17
Zn: 0.0000 0.0000 0.0000  6 Tm 2.80

No. 8
This record from the Alexandria database describes crystalline MgAs2S2 at its relaxed geometry. The functional is PBE-GGA.

Space group: I4/mmm
E_form (uncorrected), eV/atom: 0.056

abc: 5.6124 5.6124 5.6124
angles: 125.26 125.26 81.11
With the nearest neighbours (Å) after each atom.
Fractional positions:
Mg: 0.0000 0.0000 0.0000  2 As 2.58
As: 0.3027 0.3027 0.0000  1 Mg 2.58, 4 S 2.62
As: 0.6973 0.6973 0.0000  1 Mg 2.58, 4 S 2.62
S: 0.2500 0.7500 0.5000  4 As 2.62
S: 0.7500 0.2500 0.5000  4 As 2.62

No. 9
This record from the Alexandria database describes crystalline HgAsOs3 at its relaxed geometry. The functional is PBE-GGA.

Formation enthalpy at 0 K, kcal/mol of atoms: 75.95
Space group: Pm-3m

abc: 4.8842 4.8842 4.8842
angles: 90.00 90.00 90.00
With the nearest neighbours (Å) after each atom.
Fractional positions:
Hg: 0.0000 0.0000 0.0000  6 Os 2.44
As: 0.5000 0.5000 0.5000  12 Os 3.45
Os: 0.0000 0.0000 0.5000  2 Hg 2.44
Os: 0.0000 0.5000 0.0000  2 Hg 2.44
Os: 0.5000 0.0000 0.0000  2 Hg 2.44

No. 10
This record from the Alexandria database describes crystalline MgAs2AuI at its relaxed geometry. The functional is PBE-GGA.

Space group: P4/mmm
E_form (uncorrected), eV/atom: 0.733

abc: 5.0077 5.0077 5.5918
angles: 90.00 90.00 90.00
With the nearest neighbours (Å) after each atom.
Fractional positions:
Mg: 0.0000 0.0000 0.0000  4 As 2.50, 2 I 2.80
As: 0.0000 0.5000 0.0000  2 Mg 2.50
As: 0.5000 0.0000 0.0000  2 Mg 2.50
Au: 0.5000 0.5000 0.5000  4 I 3.54, 8 As 3.75
I: 0.0000 0.0000 0.5000  2 Mg 2.80

No. 11
This record from the Alexandria database describes crystalline MnSnIrSe at its relaxed geometry. The functional is PBE-GGA.

Space group: Cm
E_form (uncorrected), eV/atom: 0.163

abc: 4.4006 4.4006 5.3793
angles: 90.02 90.02 54.92
With the nearest neighbours (Å) after each atom.
Fractional positions:
Mn: 0.0000 0.0000 0.0000  1 Se 2.28, 2 Ir 2.31
Sn: 0.6760 0.6760 0.7549  3 Mn 2.78-2.85, 3 Ir 2.81-2.82, 2 Se 2.97
Ir: 0.3597 0.3597 0.0020  2 Mn 2.31, 1 Se 2.44
Se: 0.1628 0.1628 0.3529  1 Mn 2.28, 1 Ir 2.44

No. 12
This record from the Alexandria database describes crystalline BaAl2CoMo at its relaxed geometry. The functional is PBE-GGA.

Formation enthalpy at 0 K, kcal/mol of atoms: 8.12
Space group: P4/mmm

abc: 5.0699 5.0699 4.6043
angles: 90.00 90.00 90.00
With the nearest neighbours (Å) after each atom.
Fractional positions:
Ba: 0.0000 0.0000 0.0000  8 Al 3.42, 4 Co 3.58
Al: 0.0000 0.5000 0.5000  2 Mo 2.53
Al: 0.5000 0.0000 0.5000  2 Mo 2.53
Co: 0.5000 0.5000 0.0000  2 Mo 2.30
Mo: 0.5000 0.5000 0.5000  2 Co 2.30, 4 Al 2.53

No. 13
This record from the Alexandria database describes crystalline TmZrPdPt at its relaxed geometry. The functional is PBE-GGA.

Formation enthalpy at 0 K, kcal/mol of atoms: -22.87
Space group: Amm2

abc: 4.4000 5.5213 5.5213
angles: 37.26 90.00 90.00
With the nearest neighbours (Å) after each atom.
Fractional positions:
Tm: 0.0000 0.0000 0.0000  3 Pt 2.81-3.00, 4 Pd 2.87
Zr: 0.5000 0.7196 0.7196  3 Pd 2.84-2.97, 4 Pt 2.87
Pd: 0.5000 0.4485 0.4485  3 Zr 2.84-2.97, 4 Tm 2.87, 2 Pt 2.90
Pt: 0.0000 0.2682 0.2682  3 Tm 2.81-3.00, 4 Zr 2.87, 2 Pd 2.90

We obtain magnetic moment values of 0.000; 0.000; 0.000; 3.010; 0.000; 1.144; 0.000; 0.000; 0.000; 0.000; 0.125; 0.801; 0.000 μB per formula unit for the records listed above, in that order.
We obtain total energy values of -31.33; -28.13; -53.38; -29.39; -17.52; -20.00; -75.49; -18.87; -22.17; -12.05; -24.86; -25.58; -28.22 eV per cell for the records listed above, in that order.